# CrTcHg (GGA-PBE, relaxed)
data_CrTcHg
_chemical_formula_sum 'Cr1 Tc1 Hg1'
_symmetry_space_group_name_H-M 'P 1'
_symmetry_Int_Tables_number 1
_cell_length_a 7.223
_cell_length_b 7.003
_cell_length_c 2.799
_cell_angle_alpha 83.09
_cell_angle_beta 74.28
_cell_angle_gamma 22.63
loop_
_symmetry_equiv_pos_as_xyz
'x,y,z'
loop_
_atom_site_label
_atom_site_fract_x
_atom_site_fract_y
_atom_site_fract_z
Cr1 0.000 0.000 0.000
Tc1 0.370 0.370 0.630
Hg1 0.680 0.680 0.320
# energy above the most stable polymorph in this dataset = 0.170 eV/atom
# total DFT energy (no corrections) = -6.2333 eV per atom
# energy of formation from the pure elements = 0.53 eV/atom
# calculated volume = 16.37 Å³/atom